First-principles (PBE with a Hubbard U) data for a relaxed structure of CrSb3F, as listed in the Alexandria database.

Geometry as POSCAR:
```
CrSb3F
1.0
-2.542 3.919 2.078
-2.792 0.447 -4.259
-3.447 -3.252 1.918
Sb F Cr
3 1 1
Direct
0.000 0.500 0.000 Sb
0.000 0.000 0.500 Sb
0.500 0.000 0.000 Sb
0.500 0.500 0.500 F
0.000 0.000 0.000 Cr
```

## Properties
- Crystal system: cubic
- Density of states at the Fermi level: 1.27 states/eV/atom
- Excess energy over the best structure of this formula in the dataset: 258 meV/atom
- VASP energy: -4.07 eV/atom